Below is a crystal of TcNiSb relaxed with PBEsol, with properties calculated at the SCAN level.

The structure in POSCAR format:
```
TcNiSb
1.0
-1.4394 1.9576 2.1195
-2.5304 -1.9943 0.1275
3.8273 -2.1134 2.0968
Sb Ni Tc
1 1 1
Direct
0.3385 0.3385 0.6769
0.9980 0.9980 0.9960
0.6636 0.6636 0.3271
```

Values from the calculation:
- size of the total moment (μB per cell) = 1.7
- crystal system = tetragonal
- space-group type = I4mm (107)
- volume (Å³/f.u.) = 44.5
- ΔE_f (raw) (eV per atom) = 0.266

---

Below is a crystal of TcNiSb2Te relaxed with PBEsol, with properties calculated at the SCAN level.

The structure in POSCAR format:
```
TcNiSb2Te
1.0
-0.3978 4.6661 1.8285
-2.6179 -1.7575 3.9156
4.3363 -0.6518 2.6066
Ni Sb Te Tc
1 2 1 1
Direct
0.5000 0.5000 0.5000
0.0000 0.5000 0.0000
0.5000 0.0000 0.0000
0.0000 0.0000 0.5000
0.0000 0.0000 0.0000
```

Values from the calculation:
- size of the total moment (μB per cell) = 1.1
- crystal system = tetragonal
- space-group type = P4/mmm (123)
- volume (Å³/f.u.) = 128.9
- ΔE_f (raw) (eV per atom) = 0.958

---

Below is a crystal of Ni2SbTe relaxed with PBEsol, with properties calculated at the SCAN level.

The structure in POSCAR format:
```
Ni2SbTe
1.0
3.9448 0.0000 0.0000
-1.9724 3.4163 0.0000
0.0000 0.0000 5.1186
Ni Te Sb
2 1 1
Direct
0.0000 0.0000 0.2517
0.0000 0.0000 0.7483
0.6667 0.3333 0.0000
0.3333 0.6667 0.5000
```

Values from the calculation:
- size of the total moment (μB per cell) = 0.0
- crystal system = hexagonal
- space-group type = P-6m2 (187)
- volume (Å³/f.u.) = 69.0
- ΔE_f (raw) (eV per atom) = -0.242